{
  "formula": "BaNaV",
  "functional": "PBE",
  "state": "relaxed",
  "energy_ev_per_cell": -9.38,
  "e_above_lowest_polymorph_mev_per_atom": 509,
  "total_magnetization_mub_per_cell": 4.94,
  "formation_energy_ev_per_atom": 0.995,
  "lattice": [[0.0000, 4.0062, 4.0062], [4.0062, 0.0000, 4.0062], [4.0062, 4.0062, 0.0000]],
  "species": ["Ba", "Na", "V"],
  "fractional_positions": [[0.0000, 0.0000, 0.0000], [0.5000, 0.5000, 0.5000], [0.2500, 0.2500, 0.2500]]
}

{
  "formula": "Ac2Ho3Hg2",
  "functional": "PBE",
  "state": "relaxed",
  "energy_ev_per_cell": -24.03,
  "total_magnetization_mub_per_cell": 0.00,
  "formation_energy_ev_per_atom": -0.211,
  "lattice": [[6.2248, -2.4539, 0.0000], [6.2248, 2.4539, 0.0000], [-3.9260, 0.0000, 7.5475]],
  "species": ["Ac", "Ac", "Ho", "Ho", "Ho", "Hg", "Hg"],
  "fractional_positions": [[0.1365, 0.1365, 0.2882], [0.8635, 0.8635, 0.7118], [0.3691, 0.3691, 0.0453], [0.5000, 0.5000, 0.5000], [0.6309, 0.6309, 0.9547], [0.1432, 0.1432, 0.7073], [0.8568, 0.8568, 0.2927]]
}

{
  "formula": "ScTl2Br",
  "functional": "PBE",
  "state": "relaxed",
  "energy_ev_per_cell": -14.18,
  "e_above_lowest_polymorph_mev_per_atom": 200,
  "formation_energy_uncorrected_ev_per_atom": -0.360,
  "total_magnetization_mub_per_cell": 0.00,
  "lattice": [[3.6696, 0.0000, 0.0000], [0.0000, 4.9529, 0.0000], [-1.8260, 0.0000, 5.9435]],
  "species": ["Sc", "Tl", "Tl", "Br"],
  "fractional_positions": [[0.0000, 0.0000, 0.0000], [0.2613, 0.0000, 0.5212], [0.6159, 0.5000, 0.2310], [0.8921, 0.5000, 0.7812]]
}

{
  "formula": "Pm2SmDyEr6",
  "functional": "PBE",
  "state": "relaxed",
  "energy_ev_per_cell": -90.03,
  "total_magnetization_mub_per_cell": 0.00,
  "formation_energy_ev_per_atom": 0.118,
  "lattice": [[4.4963, -7.4888, 0.0000], [4.4963, 7.4888, 0.0000], [-1.4677, 0.0000, 9.5227]],
  "species": ["Pm", "Pm", "Pm", "Pm", "Sm", "Sm", "Dy", "Dy", "Er", "Er", "Er", "Er", "Er", "Er", "Er", "Er", "Er", "Er", "Er", "Er"],
  "fractional_positions": [[0.1940, 0.2970, 0.0431], [0.2970, 0.1940, 0.5431], [0.7030, 0.8060, 0.4569], [0.8060, 0.7030, 0.9569], [0.0191, 0.9809, 0.2500], [0.9809, 0.0191, 0.7500], [0.4072, 0.5928, 0.7500], [0.5928, 0.4072, 0.2500], [0.0220, 0.5731, 0.1854], [0.1238, 0.7424, 0.5574], [0.2576, 0.8762, 0.9426], [0.2935, 0.5064, 0.3809], [0.4269, 0.9780, 0.3146], [0.4936, 0.7065, 0.1191], [0.5064, 0.2935, 0.8809], [0.5731, 0.0220, 0.6854], [0.7065, 0.4936, 0.6191], [0.7424, 0.1238, 0.0574], [0.8762, 0.2576, 0.4426], [0.9780, 0.4269, 0.8146]]
}

{
  "formula": "ScTlTeI2",
  "functional": "PBE",
  "state": "relaxed",
  "energy_ev_per_cell": -18.96,
  "e_above_lowest_polymorph_mev_per_atom": 0,
  "formation_energy_uncorrected_ev_per_atom": -0.804,
  "total_magnetization_mub_per_cell": 0.00,
  "lattice": [[5.8506, 0.0000, 0.0000], [0.0000, 5.8506, 0.0000], [0.0000, 0.0000, 5.6090]],
  "species": ["Sc", "Tl", "Te", "I", "I"],
  "fractional_positions": [[0.0000, 0.0000, 0.0000], [0.5000, 0.5000, 0.5000], [0.0000, 0.0000, 0.5000], [0.0000, 0.5000, 0.0000], [0.5000, 0.0000, 0.0000]]
}

{
  "formula": "SrSc2CdAu",
  "functional": "PBE",
  "state": "relaxed",
  "energy_ev_per_cell": -18.68,
  "total_magnetization_mub_per_cell": 0.00,
  "formation_energy_ev_per_atom": -0.029,
  "lattice": [[5.3044, 0.0000, 0.0000], [0.0000, 5.3044, 0.0000], [0.0000, 0.0000, 5.3820]],
  "species": ["Sr", "Sc", "Sc", "Cd", "Au"],
  "fractional_positions": [[0.0000, 0.0000, 0.0000], [0.0000, 0.5000, 0.5000], [0.5000, 0.0000, 0.5000], [0.5000, 0.5000, 0.0000], [0.5000, 0.5000, 0.5000]]
}

{
  "formula": "Mn2AgOs",
  "functional": "PBE",
  "state": "relaxed",
  "energy_ev_per_cell": -30.38,
  "total_magnetization_mub_per_cell": 5.39,
  "formation_energy_ev_per_atom": 0.510,
  "lattice": [[-1.9089, 1.9089, 3.9121], [1.9089, -1.9089, 3.9121], [1.9089, 1.9089, -3.9121]],
  "species": ["Mn", "Mn", "Ag", "Os"],
  "fractional_positions": [[0.0000, 0.0000, 0.0000], [0.7500, 0.2500, 0.5000], [0.5000, 0.5000, 0.0000], [0.2500, 0.7500, 0.5000]]
}

{
  "formula": "LiCaHo2Tl4",
  "functional": "PBE",
  "state": "relaxed",
  "energy_ev_per_cell": -25.13,
  "total_magnetization_mub_per_cell": 0.00,
  "formation_energy_ev_per_atom": -0.324,
  "lattice": [[2.6429, 1.5259, 8.7589], [-2.6429, 1.5259, 8.7589], [0.0000, -3.0518, 8.7589]],
  "species": ["Li", "Ca", "Ho", "Ho", "Tl", "Tl", "Tl", "Tl"],
  "fractional_positions": [[0.0000, 0.0000, 0.0000], [0.5000, 0.5000, 0.5000], [0.2529, 0.2529, 0.2529], [0.7471, 0.7471, 0.7471], [0.1210, 0.1210, 0.1210], [0.3726, 0.3726, 0.3726], [0.6274, 0.6274, 0.6274], [0.8790, 0.8790, 0.8790]]
}

{
  "formula": "CaCr2Tc",
  "functional": "PBE",
  "state": "relaxed",
  "energy_ev_per_cell": -29.78,
  "e_above_lowest_polymorph_mev_per_atom": 0,
  "total_magnetization_mub_per_cell": 2.59,
  "formation_energy_ev_per_atom": 0.458,
  "lattice": [[3.0499, 0.0000, 0.0000], [0.0000, 3.0499, 0.0000], [0.0000, 0.0000, 7.4326]],
  "species": ["Ca", "Cr", "Cr", "Tc"],
  "fractional_positions": [[0.0000, 0.0000, 0.0000], [0.0000, 0.0000, 0.5219], [0.5000, 0.5000, 0.3271], [0.5000, 0.5000, 0.7014]]
}

{
  "formula": "Ir2RuAu",
  "functional": "PBE",
  "state": "relaxed",
  "energy_ev_per_cell": -29.45,
  "e_above_lowest_polymorph_mev_per_atom": 48,
  "total_magnetization_mub_per_cell": 0.00,
  "formation_energy_ev_per_atom": 0.206,
  "lattice": [[2.7678, 0.0000, 0.0000], [0.0000, 2.7678, 0.0000], [0.0000, 0.0000, 7.9417]],
  "species": ["Ir", "Ir", "Ru", "Au"],
  "fractional_positions": [[0.0000, 0.0000, 0.0000], [0.5000, 0.5000, 0.2384], [0.0000, 0.0000, 0.4660], [0.5000, 0.5000, 0.7314]]
}

{
  "formula": "BaCa2In",
  "functional": "PBE",
  "state": "relaxed",
  "energy_ev_per_cell": -9.40,
  "total_magnetization_mub_per_cell": 0.00,
  "formation_energy_ev_per_atom": -0.183,
  "lattice": [[0.0000, 4.2243, 4.2243], [4.2243, 0.0000, 4.2243], [4.2243, 4.2243, 0.0000]],
  "species": ["Ba", "Ca", "Ca", "In"],
  "fractional_positions": [[0.0000, 0.0000, 0.0000], [0.5000, 0.5000, 0.5000], [0.7500, 0.7500, 0.7500], [0.2500, 0.2500, 0.2500]]
}

{
  "formula": "SmErGa",
  "functional": "PBE",
  "state": "relaxed",
  "energy_ev_per_cell": -13.03,
  "e_above_lowest_polymorph_mev_per_atom": 168,
  "total_magnetization_mub_per_cell": 0.00,
  "formation_energy_ev_per_atom": -0.239,
  "lattice": [[0.0000, 3.5260, 3.5260], [3.5260, 0.0000, 3.5260], [3.5260, 3.5260, 0.0000]],
  "species": ["Sm", "Er", "Ga"],
  "fractional_positions": [[0.0000, 0.0000, 0.0000], [0.5000, 0.5000, 0.5000], [0.7500, 0.7500, 0.7500]]
}